The following is a PBE-GGA calculation of an optimized crystal structure of LaCdAg2, from OQMD.

Formation energy, eV per atom: -0.294

a b c (Å): 10.1303 7.1118 5.2864
angles (deg): 90.00 90.00 90.00
Element x y z (fractional)
La1 0.1019 0.2500 0.2495
La2 0.3981 0.7500 0.7495
La3 0.6019 0.2500 0.2505
La4 0.8981 0.7500 0.7505
Cd1 0.1119 0.7500 0.2504
Cd2 0.3881 0.2500 0.7504
Cd3 0.6119 0.7500 0.2496
Cd4 0.8881 0.2500 0.7496
Ag1 0.1495 0.0173 0.7494
Ag2 0.1495 0.4827 0.7494
Ag3 0.3505 0.5173 0.2494
Ag4 0.3505 0.9827 0.2494
Ag5 0.6495 0.0173 0.7506
Ag6 0.6495 0.4827 0.7506
Ag7 0.8505 0.5173 0.2506
Ag8 0.8505 0.9827 0.2506

The following is a PBE-GGA calculation of an optimized crystal structure of Ho3Mg3Cd2Ag, from OQMD.

Calculated total energy, eV for the cell shown: -25.285

a b c (Å): 7.7750 7.7750 4.1604
angles (deg): 90.00 90.00 120.00
Element x y z (fractional)
Ho1 0.0000 0.4069 0.0000
Ho2 0.4069 0.0000 0.0000
Ho3 0.5931 0.5931 0.0000
Mg1 0.0000 0.7548 0.5000
Mg2 0.2452 0.2452 0.5000
Mg3 0.7548 0.0000 0.5000
Cd1 0.3333 0.6667 0.5000
Cd2 0.6667 0.3333 0.5000
Ag1 0.0000 0.0000 0.0000

The following is a PBE-GGA calculation of an optimized crystal structure of TbPaGa, from OQMD.

Relative energy among the computed polymorphs, meV per atom: 0.0

a b c (Å): 4.7705 4.7705 4.7705
angles (deg): 60.00 60.00 60.00
Element x y z (fractional)
Tb1 0.0000 0.0000 0.0000
Pa1 0.7500 0.7500 0.7500
Ga1 0.2500 0.2500 0.2500

The following is a PBE-GGA calculation of an optimized crystal structure of Tm4HgPbC2, from OQMD.

Calculated total energy, eV for the cell shown: -44.162

a b c (Å): 3.5689 3.5689 15.6378
angles (deg): 90.00 90.00 120.00
Element x y z (fractional)
Tm1 0.0000 0.0000 0.1627
Tm2 0.0000 0.0000 0.8373
Tm3 0.6667 0.3333 0.3304
Tm4 0.6667 0.3333 0.6696
Hg1 0.6667 0.3333 0.0000
Pb1 0.0000 0.0000 0.5000
C1 0.3333 0.6667 0.2476
C2 0.3333 0.6667 0.7524

The following is a PBE-GGA calculation of an optimized crystal structure of CsLi4ReO6, from OQMD.

Calculated total energy, eV for the cell shown: -71.204

a b c (Å): 5.3147 5.3147 5.6194
angles (deg): 99.47 99.47 107.23
Element x y z (fractional)
Cs1 0.0000 0.0000 0.0000
Li1 0.1678 0.8322 0.5000
Li2 0.3400 0.6600 0.0000
Li3 0.6600 0.3400 0.0000
Li4 0.8322 0.1678 0.5000
Re1 0.5000 0.5000 0.5000
O1 0.2207 0.5441 0.2640
O2 0.2384 0.2384 0.6020
O3 0.4559 0.7793 0.7360
O4 0.5441 0.2207 0.2640
O5 0.7616 0.7616 0.3980
O6 0.7793 0.4559 0.7360

The following is a PBE-GGA calculation of an optimized crystal structure of Tm2As, from OQMD.

Calculated total energy, eV for the cell shown: -23.030

a b c (Å): 8.8056 8.8056 8.8056
angles (deg): 60.00 60.00 60.00
Element x y z (fractional)
Tm1 0.0000 0.0000 0.0000
Tm2 0.0000 0.0000 0.5000
Tm3 0.0000 0.5000 0.0000
Tm4 0.5000 0.0000 0.0000
As1 0.1250 0.1250 0.1250
As2 0.8750 0.8750 0.8750

The following is a PBE-GGA calculation of an optimized crystal structure of FeBiSbS4, from OQMD.

Calculated total energy, eV for the cell shown: -137.532

a b c (Å): 11.5804 3.8241 14.2134
angles (deg): 90.00 90.00 90.00
Element x y z (fractional)
Fe1 0.1824 0.2500 0.1695
Fe2 0.3176 0.7500 0.6695
Fe3 0.6824 0.2500 0.3305
Fe4 0.8176 0.7500 0.8305
Bi1 0.0389 0.2500 0.6104
Bi2 0.4611 0.7500 0.1104
Bi3 0.5389 0.2500 0.8896
Bi4 0.9611 0.7500 0.3896
Sb1 0.1378 0.7500 0.9359
Sb2 0.3622 0.2500 0.4359
Sb3 0.6378 0.7500 0.5641
Sb4 0.8622 0.2500 0.0641
S1 0.0456 0.7500 0.0976
S2 0.0843 0.2500 0.3123
S3 0.2051 0.2500 0.7296
S4 0.2336 0.7500 0.5125
S5 0.2664 0.2500 0.0125
S6 0.2949 0.7500 0.2296
S7 0.4157 0.7500 0.8122
S8 0.4544 0.2500 0.5976
S9 0.5456 0.7500 0.4024
S10 0.5843 0.2500 0.1878
S11 0.7051 0.2500 0.7704
S12 0.7336 0.7500 0.9875
S13 0.7664 0.2500 0.4875
S14 0.7949 0.7500 0.2704
S15 0.9157 0.7500 0.6878
S16 0.9544 0.2500 0.9024

The following is a PBE-GGA calculation of an optimized crystal structure of Er2TmCu4Si2Ge2, from OQMD.

Relative energy among the computed polymorphs, meV per atom: 9.7

a b c (Å): 7.8728 7.8728 7.8728
angles (deg): 149.46 130.77 59.05
Element x y z (fractional)
Er1 0.1291 0.1291 0.0000
Er2 0.8709 0.8709 0.0000
Tm1 0.5000 0.0000 0.5000
Cu1 0.1451 0.3360 0.8091
Cu2 0.4731 0.6640 0.8091
Cu3 0.5269 0.3360 0.1909
Cu4 0.8549 0.6640 0.1909
Si1 0.1843 0.5000 0.6843
Si2 0.8157 0.5000 0.3157
Ge1 0.2835 0.7835 0.5000
Ge2 0.7165 0.2165 0.5000

The following is a PBE-GGA calculation of an optimized crystal structure of Ta4CdCoC2, from OQMD.

Calculated total energy, eV for the cell shown: -76.259

a b c (Å): 3.1061 3.1061 13.8814
angles (deg): 90.00 90.00 120.00
Element x y z (fractional)
Ta1 0.0000 0.0000 0.1417
Ta2 0.0000 0.0000 0.8583
Ta3 0.3333 0.6667 0.3213
Ta4 0.3333 0.6667 0.6787
Cd1 0.0000 0.0000 0.5000
Co1 0.3333 0.6667 0.0000
C1 0.6667 0.3333 0.2332
C2 0.6667 0.3333 0.7668

The following is a PBE-GGA calculation of an optimized crystal structure of RbNiW, from OQMD.

Relative energy among the computed polymorphs, meV per atom: 0.0

a b c (Å): 4.6046 4.6046 4.6046
angles (deg): 60.00 60.00 60.00
Element x y z (fractional)
Rb1 0.0000 0.0000 0.0000
Ni1 0.2500 0.2500 0.2500
W1 0.5000 0.5000 0.5000

The following is a PBE-GGA calculation of an optimized crystal structure of Ac8ZnGe5, from OQMD.

Calculated total energy, eV for the cell shown: -65.496

a b c (Å): 8.4552 8.4552 8.4552
angles (deg): 109.67 109.67 109.08
Element x y z (fractional)
Ac1 0.0004 0.8828 0.2572
Ac2 0.1172 0.3744 0.1177
Ac3 0.1209 0.3742 0.6129
Ac4 0.2567 0.9996 0.8823
Ac5 0.4920 0.8791 0.2534
Ac6 0.6258 0.2387 0.7466
Ac7 0.6256 0.7433 0.7428
Ac8 0.7613 0.5080 0.3871
Zn1 0.5000 0.5000 0.0000
Ge1 0.2500 0.7500 0.5000
Ge2 0.3765 0.2530 0.3749
Ge3 0.7470 0.1220 0.1235
Ge4 0.8780 0.0015 0.6251
Ge5 0.9985 0.6235 0.8765

The following is a PBE-GGA calculation of an optimized crystal structure of Cu2Ag3, from OQMD.

Formation energy, eV per atom: 0.055
Relative energy among the computed polymorphs, meV per atom: 23.2

a b c (Å): 9.5348 9.5348 5.8252
angles (deg): 98.75 98.75 17.24
Element x y z (fractional)
Cu1 0.9996 0.9996 0.2130
Cu2 0.0004 0.0004 0.7870
Cu3 0.4091 0.4091 0.9535
Cu4 0.5909 0.5909 0.0465
Ag1 0.1922 0.1922 0.8502
Ag2 0.1937 0.1937 0.3432
Ag3 0.4165 0.4165 0.4595
Ag4 0.5835 0.5835 0.5405
Ag5 0.8063 0.8063 0.6568
Ag6 0.8078 0.8078 0.1498

Copy entry 9 word for word.
The following is a PBE-GGA calculation of an optimized crystal structure of Ta4CdCoC2, from OQMD.

Calculated total energy, eV for the cell shown: -76.259

a b c (Å): 3.1061 3.1061 13.8814
angles (deg): 90.00 90.00 120.00
Element x y z (fractional)
Ta1 0.0000 0.0000 0.1417
Ta2 0.0000 0.0000 0.8583
Ta3 0.3333 0.6667 0.3213
Ta4 0.3333 0.6667 0.6787
Cd1 0.0000 0.0000 0.5000
Co1 0.3333 0.6667 0.0000
C1 0.6667 0.3333 0.2332
C2 0.6667 0.3333 0.7668

What is the formula in the ninth record? Ta4CdCoC2